Density functional theory data (PBE) for an optimized crystal structure of Li2LuCu.

Calculated values
* uncorrected energy: -2.959 eV/atom
* SG: No. 216
* total moment: 0.08 μB/f.u.

```
Li2LuCu
1.0
0.000 3.266 3.266
3.266 0.000 3.266
3.266 3.266 0.000
Li Lu Cu
2 1 1
direct
0.000 0.000 0.000
0.250 0.250 0.250
0.500 0.500 0.500
0.750 0.750 0.750
```